The following is a PBE calculation of a relaxed structure of Li2Au, from Alexandria.

final energy: -32.369 eV per cell
ΔH_f (0 K): -329 meV/atom

Cell and atoms, written as CIF:
```
data_Li2Au
_cell_length_a 6.156
_cell_length_b 6.156
_cell_length_c 6.156
_cell_angle_alpha 90.00
_cell_angle_beta 90.00
_cell_angle_gamma 90.00
_symmetry_space_group_name_H-M 'F m -3 m'
_symmetry_Int_Tables_number 225
_symmetry_space_group_name_Hall '-F 4 2 3'
loop_
_atom_site_label
_atom_site_type_symbol
_atom_site_fract_x
_atom_site_fract_y
_atom_site_fract_z
_atom_site_occupancy
Li1 Li 0.250 0.250 0.250 1
Au1 Au 0.000 0.000 0.000 1
```